(1)
A plane-wave DFT calculation with PBE+U was carried out for a relaxed SbMo2O8 crystal.

DFT total energy ... -6.67 eV per atom
Spin magnetization ... 0.041 μB per atom
Crystal system ... trigonal

Unit cell a=6.437 b=5.935 c=5.935 alpha=120.00 beta=90.00 gamma=90.00
Site moments in Bohr magnetons follow the coordinates.
Atoms (fractional coordinates):
Sb 0.500 0.000 0.000  0.12
Mo 0.780 0.667 0.333  0.10
Mo 0.220 0.333 0.667  0.10
O 0.952 0.333 0.667  0.00
O 0.048 0.667 0.333  0.00
O 0.314 0.166 0.331  0.02
O 0.686 0.834 0.669  0.02
O 0.686 0.331 0.166  0.02
O 0.314 0.669 0.834  0.02
O 0.314 0.166 0.834  0.02
O 0.686 0.834 0.166  0.02



(2)
A plane-wave DFT calculation with PBE+U was carried out for a relaxed LiPaMo2O8 crystal.

DFT total energy ... -7.62 eV per atom
Spin magnetization ... 0.167 μB per atom
Crystal system ... tetragonal

Unit cell a=5.183 b=5.183 c=6.597 alpha=113.13 beta=113.13 gamma=90.00
Site moments in Bohr magnetons follow the coordinates.
Atoms (fractional coordinates):
Li 0.000 0.000 0.000  0.00
Pa 0.750 0.250 0.500  0.11
Mo 0.500 0.500 0.000  0.05
Mo 0.250 0.750 0.500  1.79
O 0.787 0.810 0.181  -0.01
O 0.394 0.371 0.181  -0.01
O 0.608 0.633 0.673  0.00
O 0.065 0.039 0.673  0.00
O 0.961 0.392 0.327  0.00
O 0.367 0.935 0.327  0.00
O 0.190 0.606 0.819  -0.01
O 0.629 0.213 0.819  -0.01